No. 1
Computed, not measured: a geometry-optimized ZnS structure at the PBE level of DFT.

a = 4.3316 Å, b = 4.3316 Å, c = 5.4500 Å
α = 90.00°, β = 90.00°, γ = 93.25°
With the nearest neighbours (Å) after each atom.
Atoms (fractional coordinates):
S (0.2500, 0.7500, 0.2267)  2 Zn 2.17
S (0.7500, 0.2500, 0.7733)  2 Zn 2.17
Zn (0.0000, 0.0000, 0.5000)  2 S 2.17
Zn (0.5000, 0.5000, 0.5000)  2 S 2.17

Results
SG: Cmme, No. 67
E: -6.04 eV per formula unit

=====

No. 2
Computed, not measured: a geometry-optimized LiAsPd2 structure at the PBE level of DFT.

a = 4.3715 Å, b = 4.3715 Å, c = 7.6444 Å
α = 90.00°, β = 90.00°, γ = 120.00°
With the nearest neighbours (Å) after each atom.
Atoms (fractional coordinates):
As (0.6667, 0.3333, 0.2500)  2 Pd 2.50, 3 Li 2.52
As (0.3333, 0.6667, 0.7500)  2 Pd 2.50, 3 Li 2.52
Li (0.0000, 0.0000, 0.2500)  3 As 2.52
Li (0.0000, 0.0000, 0.7500)  3 As 2.52
Pd (0.3333, 0.6667, 0.0768)  1 As 2.50, 4 Pd 2.65-2.78
Pd (0.3333, 0.6667, 0.4232)  1 As 2.50, 4 Pd 2.65-2.78
Pd (0.6667, 0.3333, 0.5768)  1 As 2.50, 4 Pd 2.65-2.78
Pd (0.6667, 0.3333, 0.9232)  1 As 2.50, 4 Pd 2.65-2.78

Results
SG: P6_3/mmc, No. 194
E: -18.46 eV per formula unit

=====

No. 3
Computed, not measured: a geometry-optimized ZrAl structure at the PBE level of DFT.

a = 5.2789 Å, b = 8.2277 Å, c = 4.7816 Å
α = 90.00°, β = 90.00°, γ = 71.29°
With the nearest neighbours (Å) after each atom.
Atoms (fractional coordinates):
Al (0.7976, 0.4088, 0.0000)  5 Al 2.88-3.19, 6 Zr 2.93-3.01
Al (0.2362, 0.6000, 0.0000)  8 Al 2.88-3.19, 4 Zr 2.90-2.98
Al (0.6065, 0.7912, 0.0000)  5 Al 2.88-3.19, 6 Zr 2.93-3.01
Al (0.4683, 0.4169, 0.5000)  5 Zr 2.85-3.11, 5 Al 2.85-2.94
Al (0.2852, 0.7831, 0.5000)  5 Zr 2.85-3.11, 5 Al 2.85-2.94
Zr (0.3871, 0.2287, 0.0000)  5 Al 2.90-2.99, 4 Zr 3.08-3.14
Zr (0.0158, 0.9713, 0.0000)  5 Al 2.90-2.99, 4 Zr 3.08-3.14
Zr (0.0145, 0.2066, 0.5000)  3 Al 2.85-2.93, 7 Zr 3.08-3.14
Zr (0.9008, 0.6000, 0.5000)  10 Al 2.89-3.11, 2 Zr 3.10
Zr (0.6211, 0.9934, 0.5000)  3 Al 2.85-2.93, 7 Zr 3.08-3.14

Results
SG: Amm2, No. 38
E: -12.91 eV per formula unit
magnetic moment: 0.00 μB/cell